(1)
DFT (PBE) results for Ce2Tm2ZnSi4 after structural relaxation.

```
9
Lattice="6.441 0.141 0.204 -2.967 5.718 -0.204 -2.967 -2.200 5.282" Properties=species:S:1:pos:R:3 pbc="T T T"
Tm 0.253 -0.150 4.012
Tm 0.253 3.809 1.269
Si -2.967 -0.266 3.942
Si 1.697 0.928 1.340
Si -1.191 2.731 3.942
Si -2.967 3.784 1.136
Ce -4.065 2.410 3.478
Ce -1.870 1.108 1.600
Zn 0.000 0.000 0.000
```

Properties
Space group   I4/mmm
VASP energy   -5.00 eV per atom



(2)
DFT (PBE) results for CeTmZnSi after structural relaxation.

```
4
Lattice="4.991 0.000 0.000 2.496 4.323 0.000 2.496 1.441 4.076" Properties=species:S:1:pos:R:3 pbc="T T T"
Si 7.487 4.323 3.057
Zn 2.496 1.441 1.019
Ce 0.000 0.000 0.000
Tm 4.991 2.882 2.038
```

Properties
Space group   F-43m
VASP energy   -4.69 eV per atom



(3)
DFT (PBE) results for CeUSi2 after structural relaxation.

```
4
Lattice="-0.109 3.093 0.605 -1.938 -0.543 2.427 6.442 -0.747 4.976" Properties=species:S:1:pos:R:3 pbc="T T T"
U -1.023 1.275 1.516
Si 4.879 -0.565 3.769
Si 1.563 -0.181 1.207
Ce 2.198 0.901 4.004
```

Properties
Space group   P4/mmm
Polymorph energy (0 for the lowest one)   0.0000 eV per atom



(4)
DFT (PBE) results for Ce2USi after structural relaxation.

```
4
Lattice="-2.842 0.892 0.235 -1.667 0.340 -2.456 -4.689 -9.935 -0.011" Properties=species:S:1:pos:R:3 pbc="T T T"
Ce -3.843 -7.190 -0.205
Ce -5.354 -1.513 -2.027
Si -4.599 -4.352 -1.116
U 0.000 0.000 0.000
```

Properties
Space group   R-3m
Polymorph energy (0 for the lowest one)   0.2521 eV per atom



(5)
DFT (PBE) results for CeU2Si6 after structural relaxation.

```
9
Lattice="-3.417 0.947 1.676 -2.966 0.493 -6.325 -0.023 -6.117 3.411" Properties=species:S:1:pos:R:3 pbc="T T T"
U -1.985 -1.710 -3.080
U -1.004 -3.913 0.165
Si -1.723 -3.591 3.104
Si -2.711 -1.413 -0.140
Si -3.702 -5.315 0.046
Si -2.703 0.639 -1.284
Si -3.694 -3.263 -1.098
Si -1.716 -1.579 1.982
Ce 0.000 0.000 0.000
```

Properties
Space group   P6/mmm
VASP energy   -7.20 eV per atom



(6)
DFT (PBE) results for Ce2USi after structural relaxation.

```
4
Lattice="-3.348 -2.832 0.630 1.197 -0.458 4.305 -2.687 3.424 1.111" Properties=species:S:1:pos:R:3 pbc="T T T"
Ce 0.599 -0.229 2.152
Ce -1.343 1.712 0.556
U -2.419 0.067 3.023
Si -1.674 -1.416 0.315
```

Properties
Space group   P4/mmm
Polymorph energy (0 for the lowest one)   0.0000 eV per atom



(7)
DFT (PBE) results for Ce2USi after structural relaxation.

```
4
Lattice="3.773 0.000 0.000 0.000 3.773 0.000 0.000 0.000 6.454" Properties=species:S:1:pos:R:3 pbc="T T T"
Si 1.887 1.887 3.227
Ce 0.000 0.000 4.724
Ce 0.000 0.000 1.730
U 1.887 1.887 0.000
```

Properties
Space group   P4/mmm
Polymorph energy (0 for the lowest one)   0.0832 eV per atom



(8)
DFT (PBE) results for CeUSi4 after structural relaxation.

```
6
Lattice="3.804 0.000 -1.175 -0.363 3.787 -1.175 0.281 0.309 7.657" Properties=species:S:1:pos:R:3 pbc="T T T"
Si 1.665 1.832 5.393
Si 3.227 1.458 3.704
Si 2.057 2.264 -0.085
Si 2.579 0.745 1.604
Ce 0.000 0.000 0.000
U 0.820 2.995 2.654
```

Properties
Space group   I-4m2
VASP energy   -6.97 eV per atom